[1]
Compound: BaTb4SmSe8
Source: Alexandria
Functional: PBE
Structure: relaxed

```
14
Lattice="-0.3485 7.7147 3.8746 -6.1504 1.6238 5.8469 2.1045 0.7150 8.3989" Properties=species:S:1:pos:R:3 pbc="T T T"
Ba -0.5768 4.1170 11.0173
Tb -3.8023 5.9279 7.1215
Tb -1.9924 1.1742 7.1161
Tb 0.8744 4.1837 6.1416
Tb 1.0465 0.3719 4.2271
Sm 2.0807 0.7283 8.3702
Se -3.4698 3.6402 11.7066
Se -0.1980 7.0749 10.5944
Se -0.0015 2.7245 8.4094
Se -0.8716 2.3860 4.8042
Se -1.1283 6.3827 6.4566
Se -4.1743 3.1851 7.4920
Se -4.3572 7.2352 9.5262
Se -3.3894 7.5927 13.4773
```

Properties
VASP energy: -5.57 eV/atom
crystal system: trigonal



[2]
Compound: NbV2Pt
Source: Alexandria
Functional: PBE
Structure: relaxed

```
4
Lattice="3.2821 0.0000 0.0000 0.0000 4.2869 0.0000 0.0000 0.0000 4.2869" Properties=species:S:1:pos:R:3 pbc="T T T"
Nb 1.6411 0.0000 0.0000
Pt 1.6411 2.1434 2.1434
V 0.0000 0.0000 2.1434
V 0.0000 2.1434 0.0000
```

Properties
energy relative to the lowest polymorph listed for this composition: 0 meV per atom
crystal system: tetragonal
formation energy from the elements: -0.292 eV/atom



[3]
Compound: AcSm2Ge2Pt7
Source: Alexandria
Functional: PBE
Structure: relaxed

```
12
Lattice="4.1991 0.0540 -0.0764 0.0591 4.1990 -0.0764 1.8508 1.8486 13.9647" Properties=species:S:1:pos:R:3 pbc="T T T"
Ac 0.0000 0.0000 0.0000
Sm 4.4234 4.4180 4.9114
Sm 1.6856 1.6836 8.9006
Ge 3.9423 3.9375 10.2224
Ge 2.1668 2.1641 3.5895
Pt 2.1291 2.1265 -0.0764
Pt 2.3903 2.3874 5.9833
Pt 3.7187 3.7142 7.8287
Pt 4.2432 2.1812 2.2352
Pt 2.1864 4.2405 2.2352
Pt 3.9226 1.8611 11.5768
Pt 1.8658 3.9204 11.5768
```

Properties
crystal system: monoclinic
formation energy from the elements: -0.866 eV/atom



[4]
Compound: Ba12Sn3O5
Source: Alexandria
Functional: PBE
Structure: relaxed

```
80
Lattice="15.5787 0.0000 0.0000 -5.1929 14.6877 0.0000 -5.1929 -7.3439 12.7199" Properties=species:S:1:pos:R:3 pbc="T T T"
Sn 9.0876 4.5899 1.5900
Sn 9.0876 10.0978 1.5900
Sn -1.2982 6.4259 7.9500
Sn 1.2982 -0.9180 4.7700
Sn 11.6840 0.0000 3.1800
Sn 1.2982 7.3439 3.1800
Sn 3.8947 0.0000 9.5400
Sn -6.4911 7.3439 9.5400
Sn 3.8947 8.2618 7.9500
Sn 6.4911 0.9180 4.7700
Sn -3.8947 -2.7539 11.1300
Sn -3.8947 2.7539 11.1300
O -1.2982 3.6719 3.1800
O -2.5964 7.3439 0.0000
O 0.0000 0.0000 0.0000
O 3.8947 2.7539 1.5900
O 5.1929 -3.6719 6.3600
O 5.1929 7.3439 0.0000
O -3.8947 8.2618 4.7700
O 6.4911 -4.5899 11.1300
O 6.4911 6.4259 4.7700
O 1.2982 -3.6719 9.5400
O 3.8947 11.0158 3.1800
O 2.5964 3.6719 6.3600
O 7.7893 0.0000 0.0000
O -2.5964 -3.6719 6.3600
O -1.2982 0.9180 7.9500
O -1.2982 11.9338 1.5900
O -5.1929 3.6719 6.3600
O 9.0876 -0.9180 7.9500
O 1.2982 4.5899 11.1300
O 6.4911 3.6719 9.5400
Ba 10.2100 1.5808 0.1887
Ba 0.1758 4.6258 5.0854
Ba 11.7838 3.4413 3.8328
Ba 6.3914 2.0733 1.4633
Ba 1.9130 5.2400 8.6984
Ba 11.2761 7.4656 2.3384
Ba -1.3980 8.7119 5.2962
Ba -3.7949 12.6145 1.4633
Ba 0.6835 9.4478 8.6984
Ba 6.8991 7.2222 2.3384
Ba 7.9651 4.2989 4.8966
Ba 7.9651 13.1070 0.1887
Ba -4.5094 6.4811 6.5487
Ba 3.4867 5.2579 1.0638
Ba -5.3687 10.3889 4.8966
Ba 2.7722 -2.7181 7.6346
Ba -0.6835 1.2411 2.5272
Ba 3.4867 9.3082 1.2746
Ba 6.3914 11.2465 3.8328
Ba -0.8903 5.3796 1.2746
Ba -3.2799 8.5850 10.1928
Ba 3.9944 5.9758 5.2962
Ba 7.1059 8.2066 6.5487
Ba 6.0832 -2.0860 11.6561
Ba 1.1985 1.3680 7.4238
Ba -1.9130 -0.8628 6.1712
Ba -0.8903 9.4299 1.0638
Ba -1.1985 -3.9026 8.8871
Ba 8.4728 -1.2411 2.5272
Ba 6.0832 1.9643 11.4453
Ba 1.7062 -1.9643 11.4453
Ba 2.4207 10.0620 5.0854
Ba 5.8764 6.1027 10.1928
Ba 10.5616 -3.0450 7.8233
Ba 9.7023 0.8628 6.1712
Ba -2.7722 -5.7631 12.5312
Ba 1.7062 2.0860 11.6561
Ba 4.5094 -2.1039 4.0215
Ba -1.7062 0.1217 10.3815
Ba -2.7722 3.0450 7.8233
Ba 8.9878 -5.2706 11.2566
Ba 6.5909 -1.3680 7.4238
Ba -1.1985 5.2706 11.2566
Ba -6.0832 -0.1217 10.3815
Ba 3.2799 2.1039 4.0215
Ba -6.5909 3.9026 8.8871
Ba 5.0171 2.7181 7.6346
Ba -5.0171 5.7631 12.5312
```

Properties
VASP energy: -4.42 eV/atom
crystal system: cubic



[5]
Compound: YTlTe
Source: Alexandria
Functional: PBE
Structure: relaxed

```
6
Lattice="-2.3202 3.4447 -2.1940 -4.4128 -0.6945 -1.4519 -5.9846 4.5354 8.4214" Properties=species:S:1:pos:R:3 pbc="T T T"
Y -5.5506 2.8609 0.3055
Y -7.1669 4.4247 4.4700
Te -2.8400 1.4931 0.3195
Te -9.8775 5.7925 4.4560
Tl -8.3981 4.3612 0.6444
Tl -4.3194 2.9244 4.1312
```

Properties
energy relative to the lowest polymorph listed for this composition: 49 meV per atom
crystal system: trigonal



[6]
Compound: Tc3IO
Source: Alexandria
Functional: PBE
Structure: relaxed

```
5
Lattice="-0.7093 -4.1281 -0.3568 3.5877 -0.4308 -2.1481 2.0729 -0.6669 3.5958" Properties=species:S:1:pos:R:3 pbc="T T T"
I 2.4757 -2.6129 0.5454
Tc 1.7938 -0.2154 -1.0741
Tc 1.0365 -0.3335 1.7979
Tc -0.3546 -2.0640 -0.1784
O 0.0000 0.0000 0.0000
```

Properties
energy relative to the lowest polymorph listed for this composition: 0 meV per atom
crystal system: cubic



[7]
Compound: K5Tl2F12
Source: Alexandria
Functional: PBE
Structure: relaxed

```
19
Lattice="-1.7068 -6.7820 1.2185 5.1978 1.3980 -5.6165 4.7701 0.0158 6.7696" Properties=species:S:1:pos:R:3 pbc="T T T"
K 5.7002 -1.1908 1.3565
K 3.4912 -1.1788 -1.6707
K 2.3850 0.0079 3.3848
K 4.7699 -4.1894 4.0423
K 2.5609 -4.1773 1.0152
Tl -1.2818 -5.0932 0.9151
Tl -0.4250 -1.6888 0.3034
F 4.3122 -5.3806 -3.2290
F 7.8526 0.2413 2.5824
F 7.0470 -2.9597 3.1576
F 5.4872 0.3515 -0.7754
F 4.6273 -3.0654 -0.1615
F 3.1209 -3.3928 6.1663
F 5.1402 -1.9754 -3.7946
F 2.7738 -5.7197 3.1470
F 3.6338 -2.3028 2.5331
F 0.4085 -5.6094 -0.2108
F 1.2141 -2.4085 -0.7859
F 3.9489 0.0124 5.6006
```

Properties
energy relative to the lowest polymorph listed for this composition: 0 meV per atom
crystal system: monoclinic



[8]
Compound: LaSi2Br
Source: Alexandria
Functional: PBE
Structure: relaxed

```
4
Lattice="3.9564 0.0017 0.0060 1.9769 3.4271 0.0060 1.9110 1.1044 8.4526" Properties=species:S:1:pos:R:3 pbc="T T T"
Br 3.9430 2.2786 3.7646
La 1.9690 1.1378 1.7422
Si 1.9045 1.1006 8.1953
Si 5.8612 3.3871 7.4473
```

Properties
energy relative to the lowest polymorph listed for this composition: 0 meV per atom
crystal system: monoclinic



[9]
Compound: VBiN3
Source: Alexandria
Functional: PBE
Structure: relaxed

```
5
Lattice="4.2595 0.0000 0.0000 0.0000 4.2595 0.0000 0.0000 0.0000 4.2595" Properties=species:S:1:pos:R:3 pbc="T T T"
V 2.1298 2.1298 2.1298
Bi 0.0000 0.0000 0.0000
N 0.0000 2.1298 0.0000
N 0.0000 0.0000 2.1298
N 2.1298 0.0000 0.0000
```

Properties
VASP energy: -5.59 eV/atom
crystal system: cubic



[10]
Compound: LiCo2HgN
Source: Alexandria
Functional: PBE
Structure: relaxed

```
5
Lattice="3.7215 0.0000 0.0000 0.0000 3.7215 0.0000 0.0000 0.0000 4.2202" Properties=species:S:1:pos:R:3 pbc="T T T"
Li 0.0000 0.0000 2.1101
Co 0.0000 1.8607 0.0000
Co 1.8607 0.0000 0.0000
Hg 1.8607 1.8607 2.1101
N 0.0000 0.0000 0.0000
```

Properties
VASP energy: -5.07 eV/atom
crystal system: tetragonal



[11]
Compound: Ho4Cd2InAu
Source: Alexandria
Functional: PBE
Structure: relaxed

```
8
Lattice="5.2293 0.0000 0.0000 2.6146 4.5287 0.0000 2.6146 1.5096 8.4969" Properties=species:S:1:pos:R:3 pbc="T T T"
Ho 5.2293 3.0191 7.3066
Ho 7.8439 4.5287 3.2901
Ho 2.6146 1.5096 5.2068
Ho 5.2293 3.0191 1.1903
Cd 7.8439 4.5287 6.4797
Cd 2.6146 1.5096 2.0172
In 0.0000 0.0000 0.0000
Au 5.2293 3.0191 4.2485
```

Properties
crystal system: trigonal
formation energy from the elements: -0.487 eV/atom



[12]
Compound: LiCaTlO3
Source: Alexandria
Functional: PBE
Structure: relaxed

```
12
Lattice="-1.7289 1.6237 2.3916 -3.6075 -5.8097 1.3364 5.3964 -0.6614 4.3499" Properties=species:S:1:pos:R:3 pbc="T T T"
Li 2.4137 -0.5036 3.2726
Li -2.3536 -4.3438 4.8054
Ca -0.0159 -4.1186 6.3424
Ca 0.0759 -0.7288 1.7356
Tl -1.8132 -3.5451 2.2819
Tl 1.8733 -1.3023 5.7960
O -0.6739 -4.6396 3.8485
O -3.7858 -4.0861 3.5951
O -1.9727 -1.2943 3.0104
O 0.7340 -0.2078 4.2294
O 2.0328 -3.5531 5.0676
O 3.8458 -0.7613 4.4828
```

Properties
VASP energy: -5.20 eV/atom
crystal system: monoclinic



[13]
Compound: Pr2PaTe6
Source: Alexandria
Functional: PBE
Structure: relaxed

```
18
Lattice="7.4133 0.0000 0.0000 0.0000 7.4133 0.0000 0.0000 0.0000 13.7142" Properties=species:S:1:pos:R:3 pbc="T T T"
Pr 0.0000 0.0000 4.5603
Pr 3.7067 3.7067 11.4174
Pr 3.7067 3.7067 2.2968
Pr 0.0000 0.0000 9.1539
Pa 0.0000 0.0000 0.0000
Pa 3.7067 3.7067 6.8571
Te 2.2428 2.2428 4.7162
Te 5.1705 5.1705 4.7162
Te 1.4639 5.9495 11.5733
Te 5.9495 1.4639 11.5733
Te 1.4639 5.9495 2.1409
Te 5.9495 1.4639 2.1409
Te 2.2428 2.2428 8.9980
Te 5.1705 5.1705 8.9980
Te 2.1283 2.1283 0.0000
Te 5.2851 5.2851 0.0000
Te 1.5784 5.8349 6.8571
Te 5.8349 1.5784 6.8571
```

Properties
VASP energy: -5.17 eV/atom
crystal system: tetragonal



[14]
Compound: LiNi2Se
Source: Alexandria
Functional: PBE
Structure: relaxed

```
8
Lattice="-3.4199 1.2628 0.4048 -0.5683 -2.4074 2.7084 0.6573 4.8771 6.9568" Properties=species:S:1:pos:R:3 pbc="T T T"
Ni -2.1293 1.7390 2.3408
Ni -0.5332 -0.1590 3.4725
Ni -0.9885 3.2885 6.3176
Ni -3.0109 2.5963 8.0092
Se 0.0000 0.0000 0.0000
Se -2.3784 2.7838 4.4591
Li -1.9941 -0.5723 1.5566
Li -0.9526 0.9487 5.6109
```

Properties
VASP energy: -4.33 eV/atom
crystal system: tetragonal



[15]
Compound: Sr4TcN5
Source: Alexandria
Functional: PBE
Structure: relaxed

```
10
Lattice="6.0148 -0.5612 -1.4328 -3.8609 4.6460 -1.4328 0.2959 0.5612 6.1760" Properties=species:S:1:pos:R:3 pbc="T T T"
Sr -0.7098 3.5693 -0.5223
Sr 2.5503 2.5932 0.5366
Sr -0.1327 1.9919 2.8165
Sr 3.1274 1.0158 3.8754
Tc 1.9973 3.7879 -2.6573
N 4.6544 0.6974 -0.6461
N 1.2517 0.3995 1.5255
N 1.1917 4.2345 1.7933
N -2.2110 3.9366 3.9649
N 1.2882 2.4431 -1.7139
```

Properties
VASP energy: -6.40 eV/atom
crystal system: tetragonal



[16]
Compound: Na3CdS2
Source: Alexandria
Functional: PBE
Structure: relaxed

```
12
Lattice="6.7478 0.0000 0.0000 0.0000 6.7897 0.0000 -3.3739 -3.3949 6.6730" Properties=species:S:1:pos:R:3 pbc="T T T"
Na 3.3739 1.6974 0.0000
Na 3.3739 5.0923 0.0000
Na 3.3739 -1.6974 3.5449
Na 0.0000 1.6974 3.1281
Na 0.0000 5.0923 3.1281
Na 3.3739 1.6974 3.5449
Cd 0.0000 3.3949 0.0000
Cd 0.0000 0.0000 0.0000
S 1.4574 0.0000 4.8480
S 4.8313 0.0000 1.8250
S -1.4574 3.3949 4.8480
S 1.9165 3.3949 1.8250
```

Properties
VASP energy: -2.94 eV/atom
crystal system: orthorhombic



[17]
Compound: KRbTaHg2
Source: Alexandria
Functional: PBE
Structure: relaxed

```
5
Lattice="5.5274 0.0000 0.0000 0.0000 6.3678 0.0000 0.0000 0.0000 5.5274" Properties=species:S:1:pos:R:3 pbc="T T T"
K 0.0000 3.1839 0.0000
Hg 0.0000 0.0000 2.7637
Hg 2.7637 0.0000 0.0000
Rb 2.7637 3.1839 2.7637
Ta 0.0000 0.0000 0.0000
```

Properties
crystal system: tetragonal
formation energy from the elements: 0.703 eV/atom



[18]
Compound: SrPaTc2O8
Source: Alexandria
Functional: PBE
Structure: relaxed

```
12
Lattice="-3.7615 -2.7938 -3.6004 2.1790 -2.7854 4.7340 -5.5021 2.3570 3.9194" Properties=species:S:1:pos:R:3 pbc="T T T"
Sr 0.0000 0.0000 0.0000
Pa -2.7510 1.1785 1.9597
Tc -2.8855 -2.3180 -0.0357
Tc -4.1991 -0.9042 5.0887
O -0.0519 -2.6808 2.1345
O -2.5001 -0.6475 0.7712
O -4.4433 -2.0891 -1.0898
O -7.0327 -0.5414 2.9185
O -2.6413 -1.1331 6.1428
O -4.5845 -2.5747 4.2818
O -3.7659 0.3074 3.6978
O -3.3188 -3.5296 1.3552
```

Properties
VASP energy: -8.03 eV/atom
crystal system: trigonal



[19]
Compound: SmY12Tl3
Source: Alexandria
Functional: PBE
Structure: relaxed

```
16
Lattice="-2.2461 4.0275 -1.6174 -4.3400 -2.0956 0.8088 -0.1108 7.4110 18.6083" Properties=species:S:1:pos:R:3 pbc="T T T"
Sm 0.0000 0.0000 0.0000
Y -3.2930 0.9659 -0.4043
Y -3.3214 2.8653 4.3648
Y -3.3484 4.6715 8.8998
Y -3.3754 6.4776 13.4349
Y -1.1376 2.9911 1.6453
Y -1.1649 4.8135 6.2211
Y -1.1920 6.6251 10.7698
Y -1.2192 8.4474 15.3456
Y -2.1846 -0.0705 2.8583
Y -2.2119 1.7519 7.4342
Y -2.2390 3.5635 11.9829
Y -2.2662 5.3859 16.5587
Tl -0.0285 1.9063 4.7865
Tl -0.0554 3.7055 9.3042
Tl -0.0823 5.5048 13.8218
```

Properties
crystal system: tetragonal
formation energy from the elements: -0.132 eV/atom